# 1
First-principles (PBE) data for a geometry-optimized Rb2Zr2Sb structure, as listed in the Alexandria database.

- symmetry = I4/mmm, No. 139
- E above lowest polymorph (meV/atom) = 0
- raw formation energy (eV/atom) = 0.531

Cell: 3.9222 3.9222 25.7393 Å, 90.00 90.00 90.00°
Fractional positions:
Rb 0.0000 0.0000 0.1003
Rb 0.0000 0.0000 0.8997
Rb 0.5000 0.5000 0.3997
Rb 0.5000 0.5000 0.6003
Zr 0.0000 0.5000 0.2500
Zr 0.0000 0.5000 0.7500
Zr 0.5000 0.0000 0.2500
Zr 0.5000 0.0000 0.7500
Sb 0.0000 0.0000 0.5000
Sb 0.5000 0.5000 0.0000

---

# 2
First-principles (PBE) data for a geometry-optimized ZrCuTe2 structure, as listed in the Alexandria database.

- symmetry = Imm2, No. 44
- raw formation energy (eV/atom) = -0.516

Cell: 3.7747 3.8856 14.9275 Å, 90.00 90.00 90.00°
Fractional positions:
Zr 0.0000 0.0000 0.0000
Zr 0.5000 0.5000 0.5000
Cu 0.0000 0.5000 0.8631
Cu 0.5000 0.0000 0.3631
Te 0.0000 0.0000 0.5837
Te 0.0000 0.5000 0.3465
Te 0.5000 0.0000 0.8465
Te 0.5000 0.5000 0.0837

---

# 3
First-principles (PBE) data for a geometry-optimized RbCu3Ag structure, as listed in the Alexandria database.

- symmetry = Pm-3m, No. 221
- ΔE_f (eV per atom) = 0.605
- E above lowest polymorph (meV/atom) = 0

Cell: 4.9849 4.9849 4.9849 Å, 90.00 90.00 90.00°
Fractional positions:
Rb 0.0000 0.0000 0.0000
Cu 0.0000 0.5000 0.5000
Cu 0.5000 0.0000 0.5000
Cu 0.5000 0.5000 0.0000
Ag 0.5000 0.5000 0.5000

---

# 4
First-principles (PBE) data for a geometry-optimized Pr3Ga6Pt5 structure, as listed in the Alexandria database.

- symmetry = Pmmn, No. 59
- ΔE_f (eV per atom) = -0.934

Cell: 4.3631 13.1838 9.3923 Å, 90.00 90.00 90.00°
Fractional positions:
Pr 0.2500 0.0529 0.2491
Pr 0.2500 0.4471 0.2491
Pr 0.2500 0.7500 0.2522
Pr 0.7500 0.2500 0.7478
Pr 0.7500 0.5529 0.7509
Pr 0.7500 0.9471 0.7509
Ga 0.2500 0.0714 0.9049
Ga 0.2500 0.2500 0.0733
Ga 0.2500 0.2500 0.4583
Ga 0.2500 0.4286 0.9049
Ga 0.2500 0.5970 0.5228
Ga 0.2500 0.9030 0.5228
Ga 0.7500 0.0970 0.4772
Ga 0.7500 0.4030 0.4772
Ga 0.7500 0.5714 0.0951
Ga 0.7500 0.7500 0.5417
Ga 0.7500 0.7500 0.9267
Ga 0.7500 0.9286 0.0951
Pt 0.2500 0.0929 0.6251
Pt 0.2500 0.4071 0.6251
Pt 0.2500 0.6339 0.9687
Pt 0.2500 0.7500 0.7046
Pt 0.2500 0.8661 0.9687
Pt 0.7500 0.1339 0.0313
Pt 0.7500 0.2500 0.2954
Pt 0.7500 0.3661 0.0313
Pt 0.7500 0.5929 0.3749
Pt 0.7500 0.9071 0.3749

---

# 5
First-principles (PBE) data for a geometry-optimized Sc5ZnIn2Co2 structure, as listed in the Alexandria database.

- symmetry = P4/mbm, No. 127
- ΔE_f (eV per atom) = -0.354

Cell: 10.9580 10.9580 3.2643 Å, 90.00 90.00 90.00°
Fractional positions:
Sc 0.0000 0.5000 0.0000
Sc 0.0721 0.2072 0.0000
Sc 0.2072 0.9279 0.0000
Sc 0.2928 0.4279 0.0000
Sc 0.4279 0.7072 0.0000
Sc 0.5000 0.0000 0.0000
Sc 0.5721 0.2928 0.0000
Sc 0.7072 0.5721 0.0000
Sc 0.7928 0.0721 0.0000
Sc 0.9279 0.7928 0.0000
Zn 0.0000 0.0000 0.5000
Zn 0.5000 0.5000 0.5000
In 0.1745 0.6745 0.5000
In 0.3255 0.1745 0.5000
In 0.6745 0.8255 0.5000
In 0.8255 0.3255 0.5000
Co 0.1309 0.3691 0.5000
Co 0.3691 0.8691 0.5000
Co 0.6309 0.1309 0.5000
Co 0.8691 0.6309 0.5000

---

# 6
First-principles (PBE) data for a geometry-optimized CaBe2Mo structure, as listed in the Alexandria database.

- symmetry = Cmmm, No. 65
- ΔE_f (eV per atom) = 0.445
- E above lowest polymorph (meV/atom) = 185

Cell: 6.4595 6.4746 2.7964 Å, 90.00 90.00 90.00°
Fractional positions:
Ca 0.0000 0.0000 0.0000
Ca 0.5000 0.5000 0.0000
Be 0.2500 0.2500 0.5000
Be 0.2500 0.7500 0.5000
Be 0.7500 0.2500 0.5000
Be 0.7500 0.7500 0.5000
Mo 0.0000 0.5000 0.0000
Mo 0.5000 0.0000 0.0000

---

no.,total magnetic moment (μB/f.u.),uncorrected energy (eV/atom),density of states at the Fermi level (states/eV/f.u.)
1,0.00,-4.100,4.93
2,0.00,-5.248,1.97
3,0.00,-2.617,2.01
4,0.00,-5.413,7.77
5,0.00,-5.616,7.07
6,0.00,-4.626,0.73